Record 1
Rb3InH6: optimized geometry, PBE-GGA.

The value obtained for the total energy is -2.65 eV per atom. The calculation puts the calculated volume at 22.71 Å³/atom.

The space group is Cmc2_1 (No. 36) and the conventional cell measures 12.9696, 9.4467 and 7.4150 Å, with angles of 90.00, 90.00 and 90.00 degrees. The asymmetric unit holds Rb at (0.0000, 0.0394, 0.0000), Rb at (0.2191, 0.3527, 0.8854), In at (0.0000, 0.3519, 0.3318), H at (0.0000, 0.2690, 0.5450), H at (0.0000, 0.4616, 0.8498), H at (0.1088, 0.2904, 0.2065) and H at (0.1665, 0.0726, 0.7315).

=====

Record 2
Rb2InH: optimized geometry, PBE-GGA.

The value obtained for the total energy is -1.85 eV per atom. The calculation puts the calculated volume at 41.44 Å³/atom. Its energy above the most stable polymorph in this dataset is 0 meV/atom.

The space group is I-42d (No. 122) and the conventional cell measures 8.4616, 8.4616 and 9.2608 Å, with angles of 90.00, 90.00 and 90.00 degrees. The asymmetric unit holds Rb at (0.1422, 0.2500, 0.1250), In at (0.0000, 0.0000, 0.5000) and H at (0.0000, 0.0000, 0.0000).

=====

Record 3
Rb3InH: optimized geometry, PBE-GGA.

The value obtained for the total energy is -1.78 eV per atom. The calculation puts the calculated volume at 41.21 Å³/atom. Its energy above the most stable polymorph in this dataset is 0 meV/atom.

The space group is Pm-3m (No. 221) and the conventional cell measures 5.9063, 5.9063 and 5.9063 Å, with angles of 90.00, 90.00 and 90.00 degrees. The asymmetric unit holds Rb at (0.0000, 0.0000, 0.5000), In at (0.5000, 0.5000, 0.5000) and H at (0.0000, 0.0000, 0.0000).

=====

Record 4
Rb2InH4: optimized geometry, PBE-GGA.

The value obtained for the total energy is -2.58 eV per atom. The calculation puts the calculated volume at 23.08 Å³/atom. Its energy above the most stable polymorph in this dataset is 43 meV/atom.

The space group is P2_1/m (No. 11) and the conventional cell measures 6.1988, 5.8588 and 8.8961 Å, with angles of 90.00, 90.38 and 90.00 degrees. The asymmetric unit holds Rb at (0.2179, 0.2500, 0.0113), Rb at (0.2203, 0.2500, 0.4892), In at (0.2787, 0.7500, 0.7508), H at (0.0808, 0.5133, 0.7501), H at (0.3162, 0.7500, 0.5328) and H at (0.3178, 0.7500, 0.9693).

=====

Record 5
Rb2In2H7: optimized geometry, PBE-GGA.

The value obtained for the total energy is -2.77 eV per atom. The calculation puts the calculated volume at 19.54 Å³/atom.

The space group is C2/m (No. 12) and the conventional cell measures 8.6788, 9.6046 and 5.1727 Å, with angles of 90.00, 94.55 and 90.00 degrees. The asymmetric unit holds Rb at (0.0000, 0.2464, 0.0000), In at (0.2374, 0.5000, 0.4824), H at (0.0000, 0.5000, 0.5000), H at (0.1114, 0.0000, 0.2603) and H at (0.2393, 0.1506, 0.7179).

=====

Record 6
RbInRe2H: optimized geometry, PBE-GGA.

The value obtained for the total energy is -4.93 eV per atom. The calculation puts the calculated volume at 17.28 Å³/atom.

The space group is P4/mmm (No. 123) and the conventional cell measures 4.0924, 4.0924 and 5.1592 Å, with angles of 90.00, 90.00 and 90.00 degrees. The asymmetric unit holds Rb at (0.0000, 0.0000, 0.0000), In at (0.5000, 0.5000, 0.0000), Re at (0.0000, 0.5000, 0.5000) and H at (0.0000, 0.0000, 0.5000).

=====

Record 7
Rb2InHRu: optimized geometry, PBE-GGA.

The value obtained for the total energy is -2.50 eV per atom. The calculation puts the calculated volume at 48.43 Å³/atom.

The space group is P4/mmm (No. 123) and the conventional cell measures 6.9240, 6.9240 and 5.0513 Å, with angles of 90.00, 90.00 and 90.00 degrees. The asymmetric unit holds Rb at (0.0000, 0.5000, 0.0000), In at (0.0000, 0.0000, 0.0000), H at (0.5000, 0.5000, 0.5000) and Ru at (0.0000, 0.0000, 0.5000).

=====

Record 8
Rb2InSbH: optimized geometry, PBE-GGA.

The value obtained for the total energy is -2.62 eV per atom. The calculation puts the calculated volume at 40.68 Å³/atom.

The space group is P2_1/m (No. 11) and the conventional cell measures 6.7669, 5.5671 and 10.8522 Å, with angles of 90.00, 95.66 and 90.00 degrees. The asymmetric unit holds Rb at (0.2448, 0.2500, 0.0487), Rb at (0.2453, 0.7500, 0.4386), In at (0.2382, 0.7500, 0.7805), Sb at (0.2764, 0.2500, 0.7083) and H at (0.1895, 0.7500, 0.9537).

=====

Record 9
Rb2InHSe: optimized geometry, PBE-GGA.

The value obtained for the total energy is -2.49 eV per atom. The calculation puts the calculated volume at 31.01 Å³/atom.

The space group is P4/mmm (No. 123) and the conventional cell measures 6.3152, 6.3152 and 3.8874 Å, with angles of 90.00, 90.00 and 90.00 degrees. The asymmetric unit holds Rb at (0.0000, 0.5000, 0.0000), In at (0.0000, 0.0000, 0.5000), H at (0.5000, 0.5000, 0.0000) and Se at (0.5000, 0.5000, 0.5000).

=====

Record 10
RbInSnH: optimized geometry, PBE-GGA.

The value obtained for the total energy is -2.85 eV per atom. The calculation puts the calculated volume at 27.30 Å³/atom.

The space group is P1 (No. 1) and the conventional cell measures 3.9219, 3.9759 and 7.5327 Å, with angles of 105.09, 104.94 and 90.66 degrees. The asymmetric unit holds Rb at (0.0000, 0.0000, 0.0000), In at (0.2920, 0.2938, 0.5859), Sn at (0.7032, 0.7052, 0.4085) and H at (0.4273, 0.4276, 0.8549).

=====

Record 11
Rb2InSnH6: optimized geometry, PBE-GGA.

The value obtained for the total energy is -2.82 eV per atom. The calculation puts the calculated volume at 16.48 Å³/atom.

The space group is C2/m (No. 12) and the conventional cell measures 8.6976, 8.6877 and 6.1356 Å, with angles of 90.00, 134.68 and 90.00 degrees. The asymmetric unit holds Rb at (0.0000, 0.2494, 0.0000), In at (0.0000, 0.5000, 0.5000), Sn at (0.0000, 0.0000, 0.5000), H at (0.0000, 0.2606, 0.5000), H at (0.2395, 0.5000, 0.5001) and H at (0.2402, 0.5000, 0.9807).

=====

Record 12
RbZnIn2H: optimized geometry, PBE-GGA.

The value obtained for the total energy is -1.90 eV per atom. The calculation puts the calculated volume at 27.52 Å³/atom.

The space group is P4/mmm (No. 123) and the conventional cell measures 6.2365, 6.2365 and 3.5379 Å, with angles of 90.00, 90.00 and 90.00 degrees. The asymmetric unit holds Rb at (0.0000, 0.0000, 0.0000), Zn at (0.5000, 0.5000, 0.5000), In at (0.0000, 0.5000, 0.5000) and H at (0.5000, 0.5000, 0.0000).

=====

Record 13
InRe3H: optimized geometry, PBE-GGA.

The value obtained for the total energy is -4.83 eV per atom. The calculation puts the calculated volume at 23.03 Å³/atom. Its energy above the most stable polymorph in this dataset is 3212 meV/atom.

The space group is Pm-3m (No. 221) and the conventional cell measures 4.8647, 4.8647 and 4.8647 Å, with angles of 90.00, 90.00 and 90.00 degrees. The asymmetric unit holds In at (0.0000, 0.0000, 0.0000), Re at (0.0000, 0.0000, 0.5000) and H at (0.5000, 0.5000, 0.5000).

=====

Record 14
InRe3H: optimized geometry, PBE-GGA.

The value obtained for the total energy is -8.04 eV per atom. The calculation puts the calculated volume at 13.39 Å³/atom. Its energy above the most stable polymorph in this dataset is 0 meV/atom.

The space group is Pm-3m (No. 221) and the conventional cell measures 4.0601, 4.0601 and 4.0601 Å, with angles of 90.00, 90.00 and 90.00 degrees. The asymmetric unit holds In at (0.0000, 0.0000, 0.0000), Re at (0.0000, 0.5000, 0.5000) and H at (0.5000, 0.5000, 0.5000).

=====

Record 15
InReH3: optimized geometry, PBE-GGA.

The value obtained for the total energy is -3.45 eV per atom. The calculation puts the calculated volume at 10.05 Å³/atom. Its energy above the most stable polymorph in this dataset is 1135 meV/atom.

The space group is Pm-3m (No. 221) and the conventional cell measures 3.6900, 3.6900 and 3.6900 Å, with angles of 90.00, 90.00 and 90.00 degrees. The asymmetric unit holds In at (0.0000, 0.0000, 0.0000), Re at (0.5000, 0.5000, 0.5000) and H at (0.0000, 0.0000, 0.5000).

=====

Record 16
In2ReH: optimized geometry, PBE-GGA.

The value obtained for the total energy is -4.03 eV per atom. The calculation puts the calculated volume at 19.75 Å³/atom. Its energy above the most stable polymorph in this dataset is 176 meV/atom.

The space group is I-42d (No. 122) and the conventional cell measures 5.3035, 5.3035 and 11.2331 Å, with angles of 90.00, 90.00 and 90.00 degrees. The asymmetric unit holds In at (0.1382, 0.2500, 0.1250), Re at (0.0000, 0.0000, 0.5000) and H at (0.0000, 0.0000, 0.0000).

=====

Record 17
In2ReH6: optimized geometry, PBE-GGA.

The value obtained for the total energy is -3.97 eV per atom. The calculation puts the calculated volume at 10.63 Å³/atom.

The space group is P2_1/c (No. 14) and the conventional cell measures 4.4228, 7.6041 and 5.8714 Å, with angles of 90.00, 104.37 and 90.00 degrees. The asymmetric unit holds In at (0.0910, 0.0706, 0.2840), Re at (0.5000, 0.0000, 0.0000), H at (0.2558, 0.1900, 0.9440), H at (0.2847, 0.6977, 0.4291) and H at (0.4646, 0.5792, 0.7743).

=====

Record 18
In3ReH: optimized geometry, PBE-GGA.

The value obtained for the total energy is -3.95 eV per atom. The calculation puts the calculated volume at 28.77 Å³/atom.

The space group is Pm-3m (No. 221) and the conventional cell measures 5.2394, 5.2394 and 5.2394 Å, with angles of 90.00, 90.00 and 90.00 degrees. The asymmetric unit holds In at (0.0000, 0.0000, 0.5000), Re at (0.0000, 0.0000, 0.0000) and H at (0.5000, 0.5000, 0.5000).

=====

Record 19
InReH3: optimized geometry, PBE-GGA.

The value obtained for the total energy is -4.59 eV per atom. The calculation puts the calculated volume at 9.48 Å³/atom. Its energy above the most stable polymorph in this dataset is 0 meV/atom.

The space group is Pm-3m (No. 221) and the conventional cell measures 3.6190, 3.6190 and 3.6190 Å, with angles of 90.00, 90.00 and 90.00 degrees. The asymmetric unit holds In at (0.0000, 0.0000, 0.0000), Re at (0.5000, 0.5000, 0.5000) and H at (0.0000, 0.5000, 0.5000).

=====

Record 20
In2ReH5: optimized geometry, PBE-GGA.

The value obtained for the total energy is -4.29 eV per atom. The calculation puts the calculated volume at 13.60 Å³/atom.

The space group is I4mm (No. 107) and the conventional cell measures 5.1861, 5.1861 and 8.0896 Å, with angles of 90.00, 90.00 and 90.00 degrees. The asymmetric unit holds In at (0.0000, 0.5000, 0.0000), Re at (0.0000, 0.0000, 0.4134), H at (0.0000, 0.0000, 0.6217) and H at (0.1898, 0.1898, 0.2913).

=====

Record 21
In2ReH: optimized geometry, PBE-GGA.

The value obtained for the total energy is -4.21 eV per atom. The calculation puts the calculated volume at 17.70 Å³/atom. Its energy above the most stable polymorph in this dataset is 0 meV/atom.

The space group is Fm-3m (No. 225) and the conventional cell measures 6.5667, 6.5667 and 6.5667 Å, with angles of 90.00, 90.00 and 90.00 degrees. The asymmetric unit holds In at (0.2500, 0.2500, 0.2500), Re at (0.0000, 0.0000, 0.0000) and H at (0.0000, 0.0000, 0.5000).

=====

Record 22
In2ReTcH: optimized geometry, PBE-GGA.

The value obtained for the total energy is -4.94 eV per atom. The calculation puts the calculated volume at 26.09 Å³/atom.

The space group is P4/mmm (No. 123) and the conventional cell measures 5.2683, 5.2683 and 4.7007 Å, with angles of 90.00, 90.00 and 90.00 degrees. The asymmetric unit holds In at (0.0000, 0.5000, 0.0000), Re at (0.0000, 0.0000, 0.5000), Tc at (0.0000, 0.0000, 0.0000) and H at (0.5000, 0.5000, 0.5000).

=====

Record 23
Ti2InReH: optimized geometry, PBE-GGA.

The value obtained for the total energy is -7.03 eV per atom. The calculation puts the calculated volume at 13.88 Å³/atom.

The space group is P4/mmm (No. 123) and the conventional cell measures 4.2914, 4.2914 and 3.7686 Å, with angles of 90.00, 90.00 and 90.00 degrees. The asymmetric unit holds Ti at (0.0000, 0.5000, 0.0000), In at (0.0000, 0.0000, 0.5000), Re at (0.5000, 0.5000, 0.5000) and H at (0.5000, 0.5000, 0.0000).

=====

Record 24
Zr2InReH: optimized geometry, PBE-GGA.

The value obtained for the total energy is -7.32 eV per atom. The calculation puts the calculated volume at 16.33 Å³/atom.

The space group is P4/mmm (No. 123) and the conventional cell measures 4.6280, 4.6280 and 3.8121 Å, with angles of 90.00, 90.00 and 90.00 degrees. The asymmetric unit holds Zr at (0.0000, 0.5000, 0.0000), In at (0.0000, 0.0000, 0.5000), Re at (0.5000, 0.5000, 0.5000) and H at (0.5000, 0.5000, 0.0000).

=====

Record 25
InH3Rh3: optimized geometry, PBE-GGA.

The value obtained for the total energy is -5.05 eV per atom. The calculation puts the calculated volume at 10.79 Å³/atom. Its energy above the most stable polymorph in this dataset is 0 meV/atom.

The space group is P6_3/m (No. 176) and the conventional cell measures 7.7544, 7.7544 and 2.9004 Å, with angles of 90.00, 90.00 and 120.00 degrees. The asymmetric unit holds In at (0.3333, 0.6667, 0.2500), H at (0.0485, 0.2353, 0.7500) and Rh at (0.0363, 0.6850, 0.7500).